Compound: GdMnGe2O7
Source: Alexandria via LeMat-Bulk
Functional: meta-GGA SCAN
Structure: single point on PBEsol structure

abc: 7.8249 13.4045 4.7572
angles: 90.00 90.00 90.00
Last column: nearest neighbours and their distance in Å.
Space group Cmme (No. 67)
One atom of each set of equivalent atoms:
Gd (0.2500, 0.0000, 0.0000) x4  8 O 2.34-2.39
Mn (0.2500, 0.2500, 0.0000) x4  4 O 1.90
Ge (0.0000, 0.1357, 0.4806) x8  4 O 1.74-1.82
O (0.0000, 0.0440, 0.7406) x8  1 Ge 1.74
O (0.0000, 0.2500, 0.6882) x4  2 Ge 1.82
O (0.1746, 0.1459, 0.2414) x16  1 Ge 1.78, 1 Mn 1.90

Energy relative to the elements, uncorrected, eV per atom: -2.38
DOS at the Fermi energy, states/eV/cell: 0.000
V, Å³ per atom: 11.3


Compound: CaHg2Os
Source: Alexandria via LeMat-Bulk
Functional: meta-GGA SCAN
Structure: single point on PBEsol structure

abc: 3.1194 3.1194 28.3930
angles: 90.00 90.00 120.00
Last column: nearest neighbours and their distance in Å.
Space group R-3m (No. 166, hexagonal axes)
One atom of each set of equivalent atoms:
Ca (0.0000, 0.0000, 0.0000) x3  6 Hg 3.08, 6 Ca 3.12
Hg (0.0000, 0.0000, 0.2453) x6  3 Os 2.87, 3 Ca 3.08, 6 Hg 3.12
Os (0.0000, 0.0000, 0.5000) x3  6 Hg 2.87, 6 Os 3.12

Electronic total energy, eV per atom: -53.883
DOS at the Fermi energy, states/eV/cell: 4.384
V, Å³ per atom: 19.9


Compound: La2GaCoBi
Source: Alexandria via LeMat-Bulk
Functional: meta-GGA SCAN
Structure: single point on PBEsol structure

abc: 5.1518 5.1518 4.9347
angles: 90.00 90.00 90.00
Last column: nearest neighbours and their distance in Å.
Space group P4/mmm (No. 123)
One atom of each set of equivalent atoms:
La (0.0000, 0.5000, 0.0000) x2  2 Co 2.58
Ga (0.0000, 0.0000, 0.5000) x1  8 La 3.57, 4 Bi 3.64
Co (0.5000, 0.5000, 0.0000) x1  2 Bi 2.47, 4 La 2.58
Bi (0.5000, 0.5000, 0.5000) x1  2 Co 2.47

Electronic total energy, eV per atom: -40.023
DOS at the Fermi energy, states/eV/cell: 3.106
V, Å³ per atom: 26.2


Compound: Li4AuCl
Source: Alexandria via LeMat-Bulk
Functional: meta-GGA SCAN
Structure: single point on PBEsol structure

abc: 7.4705 7.4705 7.4705
angles: 90.00 90.00 90.00
Last column: nearest neighbours and their distance in Å.
Space group F-43m (No. 216)
One atom of each set of equivalent atoms:
Li (0.1252, 0.1252, 0.1252) x16  6 Li 2.64
Au (0.0000, 0.0000, 0.5000) x4  12 Li 3.10, 4 Cl 3.23
Cl (0.2500, 0.2500, 0.7500) x4  12 Li 3.10, 4 Au 3.23

Energy relative to the elements, uncorrected, eV per atom: -0.28
DOS at the Fermi energy, states/eV/cell: 2.701
V, Å³ per atom: 17.4


Compound: CaSc2Si
Source: Alexandria via LeMat-Bulk
Functional: meta-GGA SCAN
Structure: single point on PBEsol structure

abc: 6.9883 6.9883 6.9883
angles: 90.00 90.00 90.00
Last column: nearest neighbours and their distance in Å.
Space group F-43m (No. 216)
One atom of each set of equivalent atoms:
Ca (0.0000, 0.0000, 0.0000) x4  4 Sc 3.03, 4 Si 3.03
Sc (0.0000, 0.0000, 0.5000) x4  4 Sc 3.03, 4 Si 3.03
Sc (0.2500, 0.2500, 0.2500) x4  4 Ca 3.03, 4 Sc 3.03
Si (0.2500, 0.2500, 0.7500) x4  4 Ca 3.03, 4 Sc 3.03

Energy relative to the elements, uncorrected, eV per atom: 0.05
DOS at the Fermi energy, states/eV/cell: 25.019
V, Å³ per atom: 21.3


Compound: BeAlSb2
Source: Alexandria via LeMat-Bulk
Functional: meta-GGA SCAN
Structure: single point on PBEsol structure

abc: 3.6193 3.8633 11.7632
angles: 90.00 90.00 90.00
Last column: nearest neighbours and their distance in Å.
Space group Imm2 (No. 44)
One atom of each set of equivalent atoms:
Be (0.0000, 0.0000, 0.0000) x2  6 Sb 2.67-2.72
Al (0.0000, 0.5000, 0.2735) x2  6 Sb 2.82-2.93
Sb (0.0000, 0.0000, 0.4484) x2  4 Be 2.72, 2 Al 2.82
Sb (0.0000, 0.5000, 0.6667) x2  2 Be 2.67, 4 Al 2.93

Energy relative to the elements, uncorrected, eV per atom: 0.36
DOS at the Fermi energy, states/eV/cell: 2.735
V, Å³ per atom: 20.6
ΔE to the lowest computed polymorph, meV per atom: 294


Compound: SrCrSnP3O12
Source: Alexandria via LeMat-Bulk
Functional: meta-GGA SCAN
Structure: single point on PBEsol structure

abc: 8.3719 8.3719 22.8405
angles: 90.00 90.00 120.00
Last column: nearest neighbours and their distance in Å.
Space group R-3 (No. 148, hexagonal axes)
One atom of each set of equivalent atoms:
Sr (0.0000, 0.0000, 0.0000) x3  6 O 2.64
Sr (0.0000, 0.0000, 0.5000) x3  6 O 2.52
Cr (0.0000, 0.0000, 0.1506) x6  6 O 1.95-1.98
Sn (0.0000, 0.0000, 0.3520) x6  6 O 2.01-2.07
P (0.0049, 0.7133, 0.7524) x18  4 O 1.52-1.56
O (0.0193, 0.8023, 0.6917) x18  1 P 1.55
O (0.0244, 0.1945, 0.5872) x18  1 P 1.56
O (0.0672, 0.2179, 0.1981) x18  1 P 1.52
O (0.0686, 0.2052, 0.9052) x18  1 P 1.54

Energy relative to the elements, uncorrected, eV per atom: -2.59
DOS at the Fermi energy, states/eV/cell: 0.000
V, Å³ per atom: 12.8


Compound: PtAu2
Source: Alexandria via LeMat-Bulk
Functional: meta-GGA SCAN
Structure: single point on PBEsol structure

abc: 2.8273 4.0343 8.5373
angles: 90.00 90.00 90.00
Last column: nearest neighbours and their distance in Å.
Space group Immm (No. 71)
One atom of each set of equivalent atoms:
Pt (0.0000, 0.0000, 0.0000) x2  2 Pt 2.83, 10 Au 2.84-2.86
Au (0.0000, 0.0000, 0.3348) x4  7 Au 2.82-2.86, 5 Pt 2.84-2.86

DOS at the Fermi energy, states/eV/cell: 2.116
V, Å³ per atom: 16.2
ΔE to the lowest computed polymorph, meV per atom: 17